Record 1
# LiMnBiPd | Alexandria | PBE-GGA | relaxed
# **Crystal system**: cubic
# **Energy of formation**: -3.70 kcal/mol of atoms
# **V**: 287.5 Å³ per cell
# **E**: -0.19109 Ha/atom
data_LiMnBiPd
_chemical_formula_sum 'Li4 Mn4 Bi4 Pd4'
_cell_length_a 6.600
_cell_length_b 6.600
_cell_length_c 6.600
_cell_angle_alpha 90.00
_cell_angle_beta 90.00
_cell_angle_gamma 90.00
_symmetry_space_group_name_H-M 'F -4 3 m'
_symmetry_Int_Tables_number 216
_symmetry_space_group_name_Hall 'F -4 2 3'
loop_
_atom_site_label
_atom_site_type_symbol
_atom_site_fract_x
_atom_site_fract_y
_atom_site_fract_z
Li1 Li 0.000 0.000 0.000
Mn1 Mn 0.250 0.250 0.250
Bi1 Bi 0.250 0.250 0.750
Pd1 Pd 0.000 0.000 0.500

=====

Record 2
# LiMnBiPt | Alexandria | PBE-GGA | relaxed
# **Crystal system**: cubic
# **Energy of formation**: -4.60 kcal/mol of atoms
# **V**: 289.0 Å³ per cell
# **E**: -0.20032 Ha/atom
data_LiMnBiPt
_chemical_formula_sum 'Li4 Mn4 Bi4 Pt4'
_cell_length_a 6.612
_cell_length_b 6.612
_cell_length_c 6.612
_cell_angle_alpha 90.00
_cell_angle_beta 90.00
_cell_angle_gamma 90.00
_symmetry_space_group_name_H-M 'F -4 3 m'
_symmetry_Int_Tables_number 216
_symmetry_space_group_name_Hall 'F -4 2 3'
loop_
_atom_site_label
_atom_site_type_symbol
_atom_site_fract_x
_atom_site_fract_y
_atom_site_fract_z
Li1 Li 0.000 0.000 0.000
Mn1 Mn 0.250 0.250 0.250
Bi1 Bi 0.250 0.250 0.750
Pt1 Pt 0.000 0.000 0.500